# 1
The following is a GGA-PBE calculation of crystalline CaPuC at its relaxed geometry, from Alexandria.

Cell: 5.2549 5.2549 9.3986 Å, 105.12 105.12 40.35°
Last column: nearest neighbours and their distance in Å.
Positions (direct):
Ca  0.0842  0.0842  0.3141  2 C 2.38
Ca  0.9158  0.9158  0.6859  2 C 2.38
Pu  0.3306  0.3306  0.0004  2 C 2.11
Pu  0.6694  0.6694  0.9996  2 C 2.11
C  0.4618  0.4618  0.8568  2 Pu 2.11
C  0.5382  0.5382  0.1432  2 Pu 2.11

Symmetry   C2/m, No. 12
Energy relative to the lowest polymorph listed for this composition   0.98 eV per formula unit
Total magnetic moment   1.8 μB/f.u.
ΔE_f   0.440 eV/atom

=====

# 2
The following is a GGA-PBE calculation of crystalline Sm3Dy2Rh2 at its relaxed geometry, from Alexandria.

Cell: 6.3817 6.3817 8.9724 Å, 114.41 114.41 35.23°
Last column: nearest neighbours and their distance in Å.
Positions (direct):
Sm  0.0000  0.0000  0.0000  4 Rh 3.03
Sm  0.1141  0.1141  0.4281  3 Rh 2.91-2.93
Sm  0.8859  0.8859  0.5719  3 Rh 2.91-2.93
Dy  0.3307  0.3307  0.1887  2 Rh 2.81
Dy  0.6693  0.6693  0.8113  2 Rh 2.81
Rh  0.3172  0.3172  0.7591  2 Dy 2.81, 5 Sm 2.91-3.03
Rh  0.6828  0.6828  0.2409  2 Dy 2.81, 5 Sm 2.91-3.03

Symmetry   C2/m, No. 12
Total magnetic moment   0.0 μB/f.u.
ΔE_f   -0.523 eV/atom

=====

# 3
The following is a GGA-PBE calculation of crystalline HoMgAg2 at its relaxed geometry, from Alexandria.

Cell: 5.0439 5.0439 3.3813 Å, 90.00 90.00 90.00°
Last column: nearest neighbours and their distance in Å.
Positions (direct):
Ho  0.0000  0.0000  0.0000  8 Ag 3.04, 2 Ho 3.38
Mg  0.5000  0.5000  0.0000  8 Ag 3.04, 2 Mg 3.38
Ag  0.0000  0.5000  0.5000  4 Ho 3.04, 4 Mg 3.04, 2 Ag 3.38
Ag  0.5000  0.0000  0.5000  4 Ho 3.04, 4 Mg 3.04, 2 Ag 3.38

Symmetry   P4/mmm, No. 123
Total magnetic moment   0.0 μB/f.u.
ΔE_f   -0.201 eV/atom

=====

# 4
The following is a GGA-PBE calculation of crystalline PrGa3Cu5 at its relaxed geometry, from Alexandria.

Cell: 6.5998 6.5998 11.8044 Å, 90.00 90.00 144.84°
Last column: nearest neighbours and their distance in Å.
Positions (direct):
Pr  0.1778  0.8222  0.7500  6 Ga 3.17-3.35, 4 Cu 3.42
Pr  0.8222  0.1778  0.2500  6 Ga 3.17-3.35, 4 Cu 3.42
Ga  0.1084  0.8916  0.2500  6 Cu 2.45-2.46
Ga  0.3781  0.6219  0.0503  7 Cu 2.38-2.58
Ga  0.3781  0.6219  0.4497  7 Cu 2.38-2.58
Ga  0.6219  0.3781  0.5503  7 Cu 2.38-2.58
Ga  0.6219  0.3781  0.9497  7 Cu 2.38-2.58
Ga  0.8916  0.1084  0.7500  6 Cu 2.45-2.46
Cu  0.0000  0.0000  0.0000  6 Cu 2.49-2.70, 4 Ga 2.58
Cu  0.0000  0.0000  0.5000  6 Cu 2.49-2.70, 4 Ga 2.58
Cu  0.1896  0.8104  0.0614  4 Ga 2.38-2.54, 1 Cu 2.49
Cu  0.1896  0.8104  0.4386  4 Ga 2.38-2.54, 1 Cu 2.49
Cu  0.4507  0.5493  0.6452  4 Ga 2.43-2.48, 3 Cu 2.47-2.70
Cu  0.4507  0.5493  0.8548  4 Ga 2.43-2.48, 3 Cu 2.47-2.70
Cu  0.5493  0.4507  0.1452  4 Ga 2.43-2.48, 3 Cu 2.47-2.70
Cu  0.5493  0.4507  0.3548  4 Ga 2.43-2.48, 3 Cu 2.47-2.70
Cu  0.8104  0.1896  0.5614  4 Ga 2.38-2.54, 1 Cu 2.49
Cu  0.8104  0.1896  0.9386  4 Ga 2.38-2.54, 1 Cu 2.49

Symmetry   Cmcm, No. 63
Total magnetic moment   0.0 μB/f.u.
ΔE_f   -0.236 eV/atom

=====

Question: Look up the ΔE_f of the second one.
Answer: -0.523 eV/atom